{
  "formula": "TlZnCr2",
  "functional": "PBE-GGA",
  "state": "optimized geometry",
  "lattice_angstrom": [[3.191, 0.000, 0.000], [0.000, 3.191, 0.000], [0.000, 0.000, 6.825]],
  "species": ["Tl", "Zn", "Cr", "Cr"],
  "frac_coords": [[0.000, 0.000, 0.000], [0.000, 0.000, 0.500], [0.500, 0.500, 0.281], [0.500, 0.500, 0.719]],
  "spacegroup": "P4/mmm",
  "magnetic_moment_mub_per_cell": 7.18,
  "dos_at_fermi_per_ev_cell": 1.929
}

---

{
  "formula": "TbNbFe",
  "functional": "PBE-GGA",
  "state": "optimized geometry",
  "lattice_angstrom": [[6.277, 0.000, 0.000], [0.000, 6.202, 0.000], [0.000, 0.000, 6.201]],
  "species": ["Tb", "Tb", "Tb", "Tb", "Nb", "Nb", "Nb", "Nb", "Fe", "Fe", "Fe", "Fe"],
  "frac_coords": [[0.129, 0.058, 0.250], [0.129, 0.442, 0.750], [0.871, 0.558, 0.250], [0.871, 0.942, 0.750], [0.468, 0.750, 0.000], [0.468, 0.750, 0.500], [0.532, 0.250, 0.000], [0.532, 0.250, 0.500], [0.316, 0.021, 0.750], [0.316, 0.479, 0.250], [0.684, 0.521, 0.750], [0.684, 0.979, 0.250]],
  "spacegroup": "Pbcm",
  "magnetic_moment_mub_per_cell": 0.00,
  "dos_at_fermi_per_ev_cell": 13.607
}

---

{
  "formula": "RbCoAs",
  "functional": "PBE-GGA",
  "state": "optimized geometry",
  "lattice_angstrom": [[6.498, -1.892, 0.000], [6.498, 1.892, 0.000], [-3.615, 0.000, 5.979]],
  "species": ["Rb", "Rb", "Co", "Co", "As", "As"],
  "frac_coords": [[0.000, 0.000, 0.000], [0.231, 0.231, 0.893], [0.323, 0.323, 0.458], [0.521, 0.521, 0.443], [0.702, 0.702, 0.454], [0.927, 0.927, 0.437]],
  "spacegroup": "Cm",
  "magnetic_moment_mub_per_cell": 0.36,
  "dos_at_fermi_per_ev_cell": 3.643
}

---

{
  "formula": "BaCa2Re",
  "functional": "PBE-GGA",
  "state": "optimized geometry",
  "lattice_angstrom": [[1.752, 1.012, 11.765], [-1.752, 1.012, 11.765], [0.000, -2.023, 11.765]],
  "species": ["Ba", "Ca", "Ca", "Re"],
  "frac_coords": [[0.000, 0.000, 0.000], [0.229, 0.229, 0.229], [0.771, 0.771, 0.771], [0.500, 0.500, 0.500]],
  "spacegroup": "R-3m",
  "magnetic_moment_mub_per_cell": 1.28,
  "dos_at_fermi_per_ev_cell": 4.854,
  "polymorph_energy_mev_per_atom": 153.5
}

---

{
  "formula": "VAs2BrN",
  "functional": "PBE-GGA",
  "state": "optimized geometry",
  "lattice_angstrom": [[4.258, 0.000, 0.000], [0.000, 4.258, 0.000], [0.000, 0.000, 4.686]],
  "species": ["V", "As", "As", "Br", "N"],
  "frac_coords": [[0.000, 0.000, 0.000], [0.000, 0.500, 0.500], [0.500, 0.000, 0.500], [0.500, 0.500, 0.000], [0.500, 0.500, 0.500]],
  "spacegroup": "P4/mmm",
  "magnetic_moment_mub_per_cell": 2.20,
  "dos_at_fermi_per_ev_cell": 2.704,
  "polymorph_energy_mev_per_atom": 0.0,
  "formation_energy_uncorrected_ev_per_atom": 0.95
}

---

{
  "formula": "Ce3Tl2Cd3",
  "functional": "PBE-GGA",
  "state": "optimized geometry",
  "lattice_angstrom": [[9.142, -2.456, 0.000], [9.142, 2.456, 0.000], [-1.319, 0.000, 4.744]],
  "species": ["Ce", "Ce", "Ce", "Tl", "Tl", "Cd", "Cd", "Cd"],
  "frac_coords": [[0.000, 0.000, 0.000], [0.126, 0.126, 0.627], [0.874, 0.874, 0.373], [0.248, 0.248, 0.248], [0.752, 0.752, 0.752], [0.371, 0.371, 0.870], [0.500, 0.500, 0.500], [0.629, 0.629, 0.130]],
  "spacegroup": "C2/m",
  "magnetic_moment_mub_per_cell": 3.51,
  "dos_at_fermi_per_ev_cell": 18.200,
  "polymorph_energy_mev_per_atom": 0.0
}

---

Number 1: raw total energy -5.20 eV per atom. Number 2: raw total energy -7.74 eV per atom. Number 3: raw total energy -4.28 eV per atom. Number 4: raw total energy -3.73 eV per atom. Number 5: raw total energy -4.73 eV per atom. Number 6: raw total energy -3.31 eV per atom.